P | Density functional theory data (PBE) for a geometry-optimized HoZrP2 structure.

Properties
SG ... P-3m1

Cell: 3.818 3.818 6.678 Å, 90.00 90.00 120.00°
Fractional coordinates of all 4 atoms:
Ho: 0.000 0.000 0.000
Zr: 0.000 0.000 0.500
P: 0.333 0.667 0.736
P: 0.667 0.333 0.264

---

Q | Density functional theory data (PBE) for a geometry-optimized HoZrP2 structure.

Properties
SG ... R-3m

Cell: 6.733 6.733 6.733 Å, 33.09 33.09 33.09°
Fractional coordinates of all 4 atoms:
Ho: 0.000 0.000 0.000
Zr: 0.500 0.500 0.500
P: 0.246 0.246 0.246
P: 0.754 0.754 0.754

---

R | Density functional theory data (PBE) for a geometry-optimized HoZrP2 structure.

Properties
SG ... R3m

Cell: 6.983 6.983 6.983 Å, 31.50 31.50 31.50°
Fractional coordinates of all 4 atoms:
Ho: 0.000 0.000 0.000
Zr: 0.826 0.826 0.826
P: 0.415 0.415 0.415
P: 0.574 0.574 0.574

---

We find Q to be the most stable, with the next structure 0.118 eV/atom higher.